# SCAN La2AgCl, PBEsol geometry
data_La2AgCl
_symmetry_space_group_name_H-M 'P 4/m m m'
_symmetry_Int_Tables_number 123
_symmetry_space_group_name_Hall '-P 4 2'
_cell_length_a 4.201
_cell_length_b 4.201
_cell_length_c 6.165
_cell_angle_alpha 90.00
_cell_angle_beta 90.00
_cell_angle_gamma 90.00
loop_
_atom_site_label
_atom_site_type_symbol
_atom_site_fract_x
_atom_site_fract_y
_atom_site_fract_z
_atom_site_occupancy
La1 La 0.000 0.000 0.000 1
La2 La 0.500 0.500 0.500 1
Ag1 Ag 0.000 0.000 0.500 1
Cl1 Cl 0.500 0.500 0.000 1
# Offset from the most stable computed form (eV/atom): 0.000
# Calculated density (g cm⁻³): 6.4
# Total DFT energy (no corrections) (eV per atom): -32.4401

---

# SCAN Rb2LaAgCl6, PBEsol geometry
data_Rb2LaAgCl6
_symmetry_space_group_name_H-M 'F m -3 m'
_symmetry_Int_Tables_number 225
_symmetry_space_group_name_Hall '-F 4 2 3'
_cell_length_a 10.761
_cell_length_b 10.761
_cell_length_c 10.761
_cell_angle_alpha 90.00
_cell_angle_beta 90.00
_cell_angle_gamma 90.00
loop_
_atom_site_label
_atom_site_type_symbol
_atom_site_fract_x
_atom_site_fract_y
_atom_site_fract_z
_atom_site_occupancy
Rb1 Rb 0.250 0.250 0.250 1
La1 La 0.000 0.000 0.000 1
Ag1 Ag 0.000 0.000 0.500 1
Cl1 Cl 0.000 0.000 0.254 1
# Calculated density (g cm⁻³): 3.4
# Total DFT energy (no corrections) (eV per atom): -18.4173

---

# SCAN LaAgS2Cl, PBEsol geometry
data_LaAgS2Cl
_symmetry_space_group_name_H-M 'P 4/m m m'
_symmetry_Int_Tables_number 123
_symmetry_space_group_name_Hall '-P 4 2'
_cell_length_a 5.401
_cell_length_b 5.401
_cell_length_c 5.426
_cell_angle_alpha 90.00
_cell_angle_beta 90.00
_cell_angle_gamma 90.00
loop_
_atom_site_label
_atom_site_type_symbol
_atom_site_fract_x
_atom_site_fract_y
_atom_site_fract_z
_atom_site_occupancy
La1 La 0.000 0.000 0.000 1
Ag1 Ag 0.500 0.500 0.500 1
S1 S 0.000 0.500 0.000 1
Cl1 Cl 0.000 0.000 0.500 1
# Calculated density (g cm⁻³): 3.6
# Total DFT energy (no corrections) (eV per atom): -21.0830

---

# SCAN Li2AgCl, PBEsol geometry
data_Li2AgCl
_symmetry_space_group_name_H-M 'I -4 m 2'
_symmetry_Int_Tables_number 119
_symmetry_space_group_name_Hall 'I -4 -2'
_cell_length_a 3.550
_cell_length_b 3.550
_cell_length_c 12.151
_cell_angle_alpha 90.00
_cell_angle_beta 90.00
_cell_angle_gamma 90.00
loop_
_atom_site_label
_atom_site_type_symbol
_atom_site_fract_x
_atom_site_fract_y
_atom_site_fract_z
_atom_site_occupancy
Li1 Li 0.000 0.000 0.000 1
Li2 Li 0.000 0.500 0.250 1
Ag1 Ag 0.000 0.000 0.500 1
Cl1 Cl 0.000 0.500 0.750 1
# Calculated density (g cm⁻³): 3.4
# Total DFT energy (no corrections) (eV per atom): -11.7543

---

# SCAN LiAgSnCl2, PBEsol geometry
data_LiAgSnCl2
_symmetry_space_group_name_H-M 'P 4/m m m'
_symmetry_Int_Tables_number 123
_symmetry_space_group_name_Hall '-P 4 2'
_cell_length_a 5.478
_cell_length_b 5.478
_cell_length_c 5.220
_cell_angle_alpha 90.00
_cell_angle_beta 90.00
_cell_angle_gamma 90.00
loop_
_atom_site_label
_atom_site_type_symbol
_atom_site_fract_x
_atom_site_fract_y
_atom_site_fract_z
_atom_site_occupancy
Li1 Li 0.000 0.000 0.000 1
Ag1 Ag 0.500 0.500 0.000 1
Sn1 Sn 0.500 0.500 0.500 1
Cl1 Cl 0.000 0.500 0.500 1
# Calculated density (g cm⁻³): 3.2
# Total DFT energy (no corrections) (eV per atom): -17.6232

---

# SCAN Mg2AgCl, PBEsol geometry
data_Mg2AgCl
_symmetry_space_group_name_H-M 'P 4/m m m'
_symmetry_Int_Tables_number 123
_symmetry_space_group_name_Hall '-P 4 2'
_cell_length_a 3.211
_cell_length_b 3.211
_cell_length_c 7.543
_cell_angle_alpha 90.00
_cell_angle_beta 90.00
_cell_angle_gamma 90.00
loop_
_atom_site_label
_atom_site_type_symbol
_atom_site_fract_x
_atom_site_fract_y
_atom_site_fract_z
_atom_site_occupancy
Mg1 Mg 0.000 0.000 0.227 1
Ag1 Ag 0.500 0.500 0.000 1
Cl1 Cl 0.500 0.500 0.500 1
# Offset from the most stable computed form (eV/atom): 0.069
# Calculated density (g cm⁻³): 4.1
# Total DFT energy (no corrections) (eV per atom): -12.8899

---

What is the formula in the fourth record? Li2AgCl

---

Among the records above, which one has the lowest total DFT energy (no corrections)? La2AgCl